This record from Alexandria describes a geometry-optimized LiNi2TeO6 structure. The functional is PBE with a Hubbard U.

Lattice parameters (Å, degrees): 5.1129 5.1129 14.0960 90.00 90.00 120.00
Space group R3 (No. 146, hexagonal axes)
One atom of each set of equivalent atoms:
Li: 0.0000 0.0000 0.0000
Ni: 0.0000 0.0000 0.2085
Ni: 0.0000 0.0000 0.7186
Te: 0.0000 0.0000 0.5211
O: 0.0089 0.3576 0.7865
O: 0.0489 0.6856 0.2783

## Properties
**Calculated total energy**: -5.139 eV/atom